[1]
First-principles (GGA-PBE) data for a geometry-optimized LiCr2Pb structure, as listed in the Alexandria database.

a = 4.585 Å, b = 4.585 Å, c = 6.471 Å
α = 90.00°, β = 90.00°, γ = 90.00°
Space group I-4m2 (No. 119)
Asymmetric unit:
1 Li 0.000 0.000 0.000 x2
2 Cr 0.000 0.000 0.500 x2
3 Cr 0.000 0.500 0.250 x2
4 Pb 0.000 0.500 0.750 x2

ΔH_f (0 K) (eV per atom): 0.2998



[2]
First-principles (GGA-PBE) data for a geometry-optimized PuGaAg4 structure, as listed in the Alexandria database.

a = 7.900 Å, b = 7.900 Å, c = 7.900 Å
α = 90.00°, β = 90.00°, γ = 90.00°
Space group F-43m (No. 216)
Asymmetric unit:
1 Pu 0.000 0.000 0.000 x4
2 Ga 0.250 0.250 0.750 x4
3 Ag 0.125 0.125 0.375 x16

ΔH_f (0 K) (eV per atom): 0.0147



[3]
First-principles (GGA-PBE) data for a geometry-optimized InPt8Au2 structure, as listed in the Alexandria database.

a = 3.887 Å, b = 8.120 Å, c = 12.040 Å
α = 90.00°, β = 90.00°, γ = 90.00°
Space group Immm (No. 71)
Asymmetric unit:
1 In 0.000 0.000 0.000 x2
2 Pt 0.000 0.246 0.169 x8
3 Pt 0.000 0.258 0.500 x4
4 Pt 0.000 0.500 0.327 x4
5 Au 0.000 0.000 0.355 x4

ΔH_f (0 K) (eV per atom): -0.0339



Listing Fermi-level density of states for the structures above in their given order: 0.69, 2.51, 0.97 states/eV per atom.